Below is crystalline Mo2OsF at its relaxed geometry, with properties calculated at the PBE with a Hubbard U level.

- DFT total energy: -95.80 eV for the cell shown
- Magnetic moment: 2.77 μB/cell
- Volume: 234.2 Å³ per cell

abc: 6.1636 6.1636 6.1636
angles: 90.00 90.00 90.00
Last column: nearest neighbours and their distance in Å.
Space group Fm-3m (No. 225)
Unique sites:
Mo: 0.2500 0.2500 0.2500  4 F 2.67, 4 Os 2.67
Os: 0.0000 0.0000 0.0000  8 Mo 2.67
F: 0.0000 0.0000 0.5000  8 Mo 2.67